Crystalline MoSNO2 at its relaxed geometry. Source: the Alexandria database, functional PBE+U.

The structure belongs to space group P4/mmm (No. 123); the cell edges are 3.821, 3.821 and 4.289 Å and the angles 90.00°, 90.00° and 90.00°. The inequivalent atoms are Mo at (0.000, 0.000, 0.000), S at (0.500, 0.500, 0.500), N at (0.000, 0.000, 0.500) and O at (0.000, 0.500, 0.000).

The calculation puts the energy at -5.692 eV/atom. The calculation puts the density of states at the Fermi level at 2.7 states/eV/cell.